DFT (PBE+U) results for a geometry-optimized Li2VCrO4 structure.

a b c (Å): 5.1746 2.9726 5.2029
angles (deg): 90.00 109.93 90.00
Space group P2/m (No. 10)
One atom of each set of equivalent atoms:
Li 0.0000 0.0000 0.0000 (multiplicity 1)
Li 0.0000 0.5000 0.5000 (multiplicity 1)
V 0.5000 0.0000 0.5000 (multiplicity 1)
Cr 0.5000 0.5000 0.0000 (multiplicity 1)
O 0.2728 0.0000 0.7605 (multiplicity 2)
O 0.2739 0.5000 0.2547 (multiplicity 2)

Calculated values
**Distance to the lowest polymorph of the same formula**: 0.0006 eV/atom
**Spin magnetization**: 5.0 μB per formula unit